No. 1
InSnSb2I: single point on PBEsol structure, SCAN.

Cell: 5.602 5.602 5.993 Å, 90.00 90.00 90.00°
Each line ends with the local moment (μB).
Atoms (fractional coordinates):
Sb 0.000 0.500 0.000  0.21
Sb 0.500 0.000 0.000  0.21
I 0.000 0.000 0.500  0.10
Sn 0.000 0.000 0.000  0.00
In 0.500 0.500 0.500  0.01

Computed properties:
SG: No. 123
DOS(E_F) in states/eV/f.u.: 3.517


No. 2
Li3P2WO9: single point on PBEsol structure, SCAN.

Cell: 4.972 8.696 15.981 Å, 90.00 90.00 102.29°
Each line ends with the local moment (μB).
Atoms (fractional coordinates):
O 0.901 0.401 0.198  0.00
O 0.099 0.162 0.211  0.01
O 0.901 0.838 0.789  0.01
O 0.147 0.648 0.087  0.00
O 0.843 0.059 0.905  0.00
O 0.099 0.599 0.802  0.00
O 0.558 0.612 0.894  -0.04
O 0.901 0.901 0.302  0.00
O 0.099 0.099 0.698  0.00
O 0.558 0.112 0.606  -0.04
O 0.157 0.441 0.405  0.00
O 0.853 0.852 0.587  0.00
O 0.147 0.148 0.413  0.00
O 0.705 0.204 0.311  0.01
O 0.527 0.343 0.484  0.01
O 0.527 0.843 0.016  0.01
O 0.612 0.620 0.337  0.04
O 0.388 0.880 0.837  0.04
O 0.961 0.704 0.460  0.03
O 0.039 0.796 0.960  0.03
O 0.295 0.296 0.811  0.01
O 0.442 0.388 0.106  -0.04
O 0.901 0.338 0.711  0.01
O 0.039 0.296 0.540  0.03
O 0.961 0.204 0.040  0.03
O 0.442 0.888 0.394  -0.04
O 0.705 0.704 0.189  0.01
O 0.853 0.352 0.913  0.00
O 0.099 0.662 0.289  0.01
O 0.295 0.796 0.689  0.01
O 0.388 0.380 0.663  0.04
O 0.612 0.120 0.163  0.04
O 0.473 0.657 0.516  0.01
O 0.843 0.559 0.595  0.00
O 0.157 0.941 0.095  0.00
O 0.473 0.157 0.984  0.01
P 0.827 0.229 0.223  0.01
P 0.214 0.802 0.041  0.01
P 0.173 0.771 0.777  0.01
P 0.827 0.729 0.277  0.01
P 0.786 0.198 0.959  0.01
P 0.173 0.271 0.723  0.01
P 0.786 0.698 0.541  0.01
P 0.214 0.302 0.459  0.01
Li 0.211 0.964 0.620  0.00
Li 0.754 0.410 0.368  0.00
Li 0.271 0.060 0.313  0.00
Li 0.729 0.940 0.687  0.00
Li 0.271 0.560 0.187  0.00
Li 0.729 0.440 0.813  0.00
Li 0.754 0.910 0.132  0.00
Li 0.246 0.590 0.632  0.00
Li 0.211 0.464 0.880  0.00
Li 0.789 0.036 0.380  0.00
Li 0.246 0.090 0.868  0.00
Li 0.789 0.536 0.120  0.00
W 0.303 0.187 0.099  0.80
W 0.697 0.813 0.901  0.80
W 0.303 0.687 0.401  0.80
W 0.697 0.313 0.599  0.80

Computed properties:
SG: No. 14


no.,uncorrected formation energy (eV/atom)
1,0.5008
2,-2.4308